# Sc8AgPd5 | Alexandria via LeMat-Bulk | PBE | relaxed
data_Sc8AgPd5
_cell_length_a 7.1646
_cell_length_b 7.1646
_cell_length_c 7.1646
_cell_angle_alpha 109.42
_cell_angle_beta 109.57
_cell_angle_gamma 109.42
_symmetry_space_group_name_H-M 'P 1'
_symmetry_Int_Tables_number 1
loop_
_symmetry_equiv_pos_as_xyz
'x,y,z'
loop_
_atom_site_label
_atom_site_type_symbol
_atom_site_fract_x
_atom_site_fract_y
_atom_site_fract_z
Sc1 Sc 0.2732 0.2407 0.3852
Sc2 Sc 0.6498 0.3851 0.8952
Sc3 Sc 0.5101 0.6149 0.2647
Sc4 Sc 0.1445 0.7593 0.0325
Sc5 Sc 0.7353 0.2455 0.3502
Sc6 Sc 0.1048 0.7545 0.4899
Sc7 Sc 0.9675 0.1120 0.7268
Sc8 Sc 0.6148 0.8880 0.8555
Pd1 Pd 0.3452 0.1209 0.9808
Pd2 Pd 0.8599 0.8791 0.2242
Pd3 Pd 0.5000 0.0000 0.5000
Pd4 Pd 0.7758 0.6357 0.6548
Pd5 Pd 0.0192 0.3643 0.1401
Ag1 Ag 0.2500 0.5000 0.7500
# DFT total energy ... -6.26 eV/atom
# Magnetic moment ... 0.00 μB/f.u.
# Density ... 5.9 Mg/m³
# E_form ... -0.58 eV/atom
# Space-group type ... I-4 (82)